[1]
Rb4CePm3S8 | PBE-GGA | optimized geometry

Summary:
As for the total magnetization: 3.011 μB/cell. Its mass density is 4.1 Mg/m³. The total energy comes out at -258.38 eV/cell.

CIF file:
```
data_Rb4CePm3S8
_chemical_formula_sum 'Rb12 Ce3 Pm9 S24'
_cell_length_a 8.4214
_cell_length_b 8.4214
_cell_length_c 23.0855
_cell_angle_alpha 90.00
_cell_angle_beta 90.00
_cell_angle_gamma 120.00
_symmetry_space_group_name_H-M 'R -3 m'
_symmetry_Int_Tables_number 166
_symmetry_space_group_name_Hall '-R 3 2"'
loop_
_atom_site_label
_atom_site_type_symbol
_atom_site_fract_x
_atom_site_fract_y
_atom_site_fract_z
Rb1 Rb 0.0000 0.0000 0.0000
Rb2 Rb 0.0000 0.5000 0.0000
Ce1 Ce 0.0000 0.0000 0.5000
Pm1 Pm 0.0000 0.5000 0.5000
S1 S 0.0000 0.0000 0.2321
S2 S 0.0016 0.5008 0.7680
```

***

[2]
KNaSb2 | PBE-GGA | optimized geometry

Summary:
As for the total magnetization: 0.000 μB/cell. Its mass density is 3.6 Mg/m³. For the relative energy among the computed polymorphs, the calculation gives 140.1 meV per atom.

CIF file:
```
data_KNaSb2
_chemical_formula_sum 'K4 Na4 Sb8'
_cell_length_a 5.051
_cell_length_b 5.051
_cell_length_c 22.191
_cell_angle_alpha 90.00
_cell_angle_beta 90.00
_cell_angle_gamma 90.00
_symmetry_space_group_name_H-M 'I -4 2 d'
_symmetry_Int_Tables_number 122
_symmetry_space_group_name_Hall 'I -4 2bw'
loop_
_atom_site_label
_atom_site_type_symbol
_atom_site_fract_x
_atom_site_fract_y
_atom_site_fract_z
K1 K 0.000 0.000 0.000
Na1 Na 0.000 0.000 0.500
Sb1 Sb 0.172 0.250 0.625
```

***

[3]
TbCe4Os4 | PBE-GGA | optimized geometry

Summary:
As for the total magnetization: 0.000 μB/cell. Its formation energy is 0.07 eV/atom. Its mass density is 11.2 Mg/m³.

CIF file:
```
data_TbCe4Os4
_chemical_formula_sum 'Tb2 Ce8 Os8'
_cell_length_a 6.990
_cell_length_b 6.990
_cell_length_c 8.962
_cell_angle_alpha 90.00
_cell_angle_beta 90.00
_cell_angle_gamma 90.00
_symmetry_space_group_name_H-M 'P 42/n m c'
_symmetry_Int_Tables_number 137
loop_
_symmetry_equiv_pos_as_xyz
'x,y,z'
'-x,-y,-z'
'-y+1/2,x,z+1/2'
'y+1/2,-x,-z+1/2'
'-x+1/2,-y+1/2,z'
'x+1/2,y+1/2,-z'
'y,-x+1/2,z+1/2'
'-y,x+1/2,-z+1/2'
'x+1/2,-y,-z'
'-x+1/2,y,z'
'-y,-x,-z+1/2'
'y,x,z+1/2'
'-x,y+1/2,-z'
'x,-y+1/2,z'
'y+1/2,x+1/2,-z+1/2'
'-y+1/2,-x+1/2,z+1/2'
loop_
_atom_site_label
_atom_site_type_symbol
_atom_site_fract_x
_atom_site_fract_y
_atom_site_fract_z
Tb1 Tb 0.250 0.750 0.250
Ce1 Ce 0.004 0.250 0.110
Os1 Os 0.055 0.250 0.415
```

***

[4]
AuIBr2 | PBE-GGA | optimized geometry

Summary:
As for the total magnetization: 0.000 μB/cell. Its mass density is 5.4 Mg/m³. For the relative energy among the computed polymorphs, the calculation gives 0.0 meV per atom.

CIF file:
```
data_AuIBr2
_chemical_formula_sum 'Au4 I4 Br8'
_cell_length_a 11.611
_cell_length_b 4.843
_cell_length_c 10.583
_cell_angle_alpha 90.00
_cell_angle_beta 90.00
_cell_angle_gamma 90.00
_symmetry_space_group_name_H-M 'P n n a'
_symmetry_Int_Tables_number 52
_symmetry_space_group_name_Hall '-P 2a 2bc'
loop_
_atom_site_label
_atom_site_type_symbol
_atom_site_fract_x
_atom_site_fract_y
_atom_site_fract_z
Au1 Au 0.250 0.000 0.081
I1 I 0.112 0.250 0.250
Br1 Br 0.129 0.217 0.917
```

***

[5]
K2CdSnB | PBE-GGA | optimized geometry

Summary:
As for the total magnetization: 0.885 μB/cell. Its formation energy is 1.09 eV/atom. Its mass density is 2.2 Mg/m³.

CIF file:
```
data_K2CdSnB
_chemical_formula_sum 'K2 Cd1 Sn1 B1'
_cell_length_a 6.800
_cell_length_b 6.800
_cell_length_c 5.345
_cell_angle_alpha 90.00
_cell_angle_beta 90.00
_cell_angle_gamma 90.00
_symmetry_space_group_name_H-M 'P 4/m m m'
_symmetry_Int_Tables_number 123
_symmetry_space_group_name_Hall '-P 4 2'
loop_
_atom_site_label
_atom_site_type_symbol
_atom_site_fract_x
_atom_site_fract_y
_atom_site_fract_z
K1 K 0.000 0.500 0.000
Cd1 Cd 0.000 0.000 0.500
Sn1 Sn 0.000 0.000 0.000
B1 B 0.500 0.500 0.500
```

***

[6]
BeCuPt3 | PBE-GGA | optimized geometry

Summary:
As for the total magnetization: 0.000 μB/cell. Its formation energy is -0.37 eV/atom. Its mass density is 16.1 Mg/m³. For the relative energy among the computed polymorphs, the calculation gives 0.0 meV per atom.

CIF file:
```
data_BeCuPt3
_chemical_formula_sum 'Be2 Cu2 Pt6'
_cell_length_a 7.462
_cell_length_b 2.780
_cell_length_c 6.522
_cell_angle_alpha 90.00
_cell_angle_beta 90.00
_cell_angle_gamma 90.00
_symmetry_space_group_name_H-M 'P m m a'
_symmetry_Int_Tables_number 51
_symmetry_space_group_name_Hall '-P 2a 2a'
loop_
_atom_site_label
_atom_site_type_symbol
_atom_site_fract_x
_atom_site_fract_y
_atom_site_fract_z
Be1 Be 0.000 0.000 0.000
Cu1 Cu 0.250 0.000 0.414
Pt1 Pt 0.062 0.500 0.697
Pt2 Pt 0.250 0.500 0.065
```

***

[7]
PrMg3Ir2 | PBE-GGA | optimized geometry

Summary:
As for the total magnetization: 0.000 μB/cell. Its formation energy is -0.35 eV/atom. Its mass density is 7.9 Mg/m³.

CIF file:
```
data_PrMg3Ir2
_chemical_formula_sum 'Pr4 Mg12 Ir8'
_cell_length_a 16.338
_cell_length_b 4.134
_cell_length_c 8.911
_cell_angle_alpha 90.00
_cell_angle_beta 123.05
_cell_angle_gamma 90.00
_symmetry_space_group_name_H-M 'C 1 2/m 1'
_symmetry_Int_Tables_number 12
_symmetry_space_group_name_Hall '-C 2y'
loop_
_atom_site_label
_atom_site_type_symbol
_atom_site_fract_x
_atom_site_fract_y
_atom_site_fract_z
Pr1 Pr 0.138 0.000 0.137
Mg1 Mg 0.000 0.000 0.340
Mg2 Mg 0.163 0.500 0.856
Mg3 Mg 0.164 0.500 0.471
Ir1 Ir 0.000 0.500 0.143
Ir2 Ir 0.195 0.000 0.695
```

***

[8]
Pa2VAs | PBE-GGA | optimized geometry

Summary:
As for the total magnetization: 1.143 μB/cell. Its formation energy is -0.25 eV/atom. Its mass density is 12.3 Mg/m³. For the relative energy among the computed polymorphs, the calculation gives 0.0 meV per atom.

CIF file:
```
data_Pa2VAs
_chemical_formula_sum 'Pa2 V1 As1'
_cell_length_a 4.287
_cell_length_b 4.287
_cell_length_c 4.320
_cell_angle_alpha 90.00
_cell_angle_beta 90.00
_cell_angle_gamma 90.00
_symmetry_space_group_name_H-M 'P 4/m m m'
_symmetry_Int_Tables_number 123
_symmetry_space_group_name_Hall '-P 4 2'
loop_
_atom_site_label
_atom_site_type_symbol
_atom_site_fract_x
_atom_site_fract_y
_atom_site_fract_z
Pa1 Pa 0.000 0.500 0.000
V1 V 0.000 0.000 0.500
As1 As 0.500 0.500 0.500
```

***

Question: Which of these has the highest total magnetization?
Answer: Rb4CePm3S8